ZnB2TeSe, optimized geometry, DFT PBE-GGA; ΔE_f (raw) = 771 kJ/mol of formula units; SG = P4/mmm (123)
1.0
-0.132 -4.330 -1.243
4.458 0.623 -2.647
2.343 -1.128 3.681
Te B Zn Se
1 2 1 1
direct
0.000 0.000 0.000
0.000 0.000 0.500
0.500 0.000 0.000
0.000 0.500 0.000
0.500 0.500 0.500

NbV2CrH, optimized geometry, DFT PBE-GGA; total energy = -8.16 eV per atom; SG = P4/mmm (123)
1.0
3.623 0.000 0.000
0.000 3.623 0.000
0.000 0.000 4.565
V Nb H Cr
2 1 1 1
direct
0.000 0.500 0.000
0.500 0.000 0.000
0.500 0.500 0.500
0.000 0.000 0.000
0.000 0.000 0.500

PmSmNO, optimized geometry, DFT PBE-GGA; ΔE_f (raw) = -847 kJ/mol of formula units; SG = P4/mmm (123)
1.0
3.559 0.000 0.000
0.000 3.559 0.000
0.000 0.000 5.028
N Sm O Pm
1 1 1 1
direct
0.000 0.000 0.500
0.500 0.500 0.500
0.500 0.500 0.000
0.000 0.000 0.000

SrCuPd2Rh, optimized geometry, DFT PBE-GGA; energy relative to the elements = 1440 meV/atom; SG = P4/mmm (123)
1.0
-0.157 2.871 4.232
-3.052 -3.279 2.111
4.026 -2.541 1.874
Pd Rh Sr Cu
2 1 1 1
direct
0.000 0.000 0.500
0.500 0.000 0.000
0.000 0.500 0.000
0.000 0.000 0.000
0.500 0.500 0.500

Pa4Ir3Pt, optimized geometry, DFT PBE-GGA; energy relative to the elements = -843 meV/atom; SG = Fmmm (69)
1.0
-4.874 0.569 -2.907
2.630 -2.969 -4.098
-0.794 -3.625 5.765
Pa Ir Pt
4 3 1
direct
0.000 0.500 0.000
0.500 0.000 0.000
0.254 0.254 0.508
0.746 0.746 0.492
0.750 0.250 0.500
0.500 0.500 0.000
0.250 0.750 0.500
0.000 0.000 0.000

AsC3, optimized geometry, DFT PBE-GGA; energy relative to the elements = 796 meV/atom; SG = P1 (1); relative energy among the computed polymorphs = 34 meV/atom
1.0
2.459 -0.003 0.006
-1.231 3.535 -0.017
-0.140 -0.147 6.115
As C
1 3
direct
0.241 0.186 0.750
0.073 0.809 0.145
0.266 0.203 0.079
0.470 0.603 0.145

BeSnAu2S, optimized geometry, DFT PBE-GGA; ΔE_f (raw) = 144 kJ/mol of formula units; SG = P4/mmm (123)
1.0
-3.983 -3.278 0.777
0.091 -0.962 -3.591
3.366 -3.827 1.110
S Be Sn Au
1 1 1 2
direct
0.000 0.000 0.000
0.000 0.500 0.000
0.500 0.500 0.500
0.000 0.000 0.500
0.500 0.000 0.000

Ta2HgMo, optimized geometry, DFT PBE-GGA; energy relative to the elements = 145 meV/atom; SG = Cmmm (65)
1.0
2.888 0.001 0.000
-0.996 2.711 0.000
0.000 0.000 9.343
Hg Ta Mo
1 2 1
direct
0.500 0.500 0.250
0.000 0.000 0.519
0.000 0.000 0.981
0.500 0.500 0.750

LiAl4Tc, optimized geometry, DFT PBE-GGA; energy relative to the elements = -84 meV/atom; SG = F-43m (216); relative energy among the computed polymorphs = 179 meV/atom
1.0
0.000 3.583 3.583
3.583 0.000 3.583
3.583 3.583 0.000
Tc Al Li
1 4 1
direct
0.000 0.000 0.000
0.375 0.375 0.375
0.375 0.875 0.375
0.375 0.375 0.875
0.875 0.375 0.375
0.750 0.750 0.750

GeSI, optimized geometry, DFT PBE-GGA; ΔE_f (raw) = -33 kJ/mol of formula units; SG = P3m1 (156); relative energy among the computed polymorphs = 159 meV/atom
1.0
7.117 0.000 0.000
0.000 3.755 0.000
0.000 -1.878 3.252
S Ge I
1 1 1
direct
0.213 0.333 0.667
0.036 0.000 0.000
0.751 0.667 0.333

Mn2Cu2Pt, optimized geometry, DFT PBE-GGA; energy relative to the elements = 31 meV/atom; SG = P4/mbm (127)
1.0
6.865 0.000 0.000
0.000 6.865 0.000
0.000 0.000 2.906
Mn Pt Cu
4 2 4
direct
0.825 0.325 0.500
0.675 0.825 0.500
0.325 0.175 0.500
0.175 0.675 0.500
0.000 0.000 0.000
0.500 0.500 0.000
0.124 0.376 0.000
0.876 0.624 0.000
0.376 0.876 0.000
0.624 0.124 0.000

Pm8YTl2, optimized geometry, DFT PBE-GGA; energy relative to the elements = 249 meV/atom; SG = C2/m (12)
1.0
-0.719 2.197 4.615
-8.407 -3.268 1.829
1.253 -7.414 5.307
Tl Pm Y
2 8 1
direct
0.550 0.878 0.878
0.450 0.122 0.122
0.204 0.362 0.835
0.708 0.578 0.578
0.292 0.422 0.422
0.796 0.165 0.638
0.874 0.243 0.243
0.126 0.757 0.757
0.204 0.835 0.362
0.796 0.638 0.165
0.000 0.000 0.000

Li4SmAu, optimized geometry, DFT PBE-GGA; energy relative to the elements = -162 meV/atom; SG = F-43m (216)
1.0
5.336 0.000 0.000
2.668 4.621 0.000
2.668 1.540 4.356
Sm Li Au
1 4 1
direct
0.250 0.250 0.250
0.628 0.628 0.115
0.628 0.628 0.628
0.115 0.628 0.628
0.628 0.115 0.628
0.000 0.000 0.000

Nd4DyS7, optimized geometry, DFT PBE-GGA; ΔE_f (raw) = -2386 kJ/mol of formula units; SG = Cm (8)
1.0
-2.328 -3.096 0.687
0.912 0.292 -6.860
9.356 -6.152 3.982
S Nd Dy
7 4 1
direct
0.339 0.677 0.948
0.267 0.534 0.647
0.660 0.320 0.051
0.743 0.485 0.357
0.039 0.079 0.779
0.495 0.991 0.503
0.959 0.917 0.215
0.111 0.223 0.424
0.301 0.603 0.192
0.699 0.397 0.808
0.999 0.999 0.998
0.888 0.776 0.578

KCaNb, optimized geometry, DFT PBE-GGA; energy relative to the elements = 1195 meV/atom; SG = P-6m2 (187); relative energy among the computed polymorphs = 914 meV/atom
1.0
5.198 -3.001 0.000
0.000 6.002 0.000
0.000 0.000 2.945
Ca K Nb
1 1 1
direct
0.000 0.000 0.000
0.667 0.333 0.500
0.333 0.667 0.000

LuPu2Pt, optimized geometry, DFT PBE-GGA; energy relative to the elements = -149 meV/atom; SG = R-3m (166)
1.0
-2.306 2.814 0.304
-3.569 -0.494 -0.587
-3.191 -1.228 9.075
Pu Lu Pt
2 1 1
direct
0.266 0.266 0.203
0.734 0.734 0.797
0.500 0.500 0.500
0.000 0.000 0.000

Tc2Pb, optimized geometry, DFT PBE-GGA; energy relative to the elements = 823 meV/atom; SG = P6_3/mmc (194); relative energy among the computed polymorphs = 460 meV/atom
1.0
2.357 -4.083 0.000
2.357 4.083 0.000
0.000 0.000 5.506
Tc Pb
4 2
direct
0.000 0.000 0.500
0.333 0.667 0.250
0.000 0.000 0.000
0.667 0.333 0.750
0.667 0.333 0.250
0.333 0.667 0.750

SrGa2Pd4, optimized geometry, DFT PBE-GGA; energy relative to the elements = -671 meV/atom; SG = P4_2/mnm (136)
1.0
-2.267 -3.346 0.069
6.193 -4.140 2.764
-2.217 1.656 7.448
Pd Ga Sr
8 4 2
direct
0.000 0.917 0.663
0.000 0.337 0.083
0.500 0.417 0.837
0.500 0.583 0.163
0.500 0.163 0.583
0.500 0.837 0.417
0.000 0.083 0.337
0.000 0.663 0.917
0.500 0.726 0.726
0.500 0.274 0.274
0.000 0.226 0.774
0.000 0.774 0.226
0.500 0.000 0.000
0.000 0.500 0.500

DyAlCuRu, optimized geometry, DFT PBE-GGA; energy relative to the elements = -308 meV/atom; SG = F-43m (216)
1.0
4.567 0.000 0.000
2.284 3.955 0.000
2.284 1.318 3.729
Cu Al Dy Ru
1 1 1 1
direct
0.250 0.250 0.250
0.500 0.500 0.500
0.000 0.000 0.000
0.750 0.750 0.750

TaHgTe2, optimized geometry, DFT PBE-GGA; ΔE_f (raw) = -77 kJ/mol of formula units; SG = P-1 (2)
1.0
-0.473 -3.561 8.083
-6.408 -4.790 0.510
2.377 -2.068 -1.512
Ta Te Hg
2 4 2
direct
0.031 0.173 0.577
0.267 0.897 0.054
0.363 0.126 0.716
0.312 0.601 0.429
0.986 0.468 0.202
0.934 0.944 0.915
0.671 0.336 0.480
0.627 0.733 0.151